# MnPb3Br8 | Alexandria | PBE-GGA | relaxed
data_MnPb3Br8
_chemical_formula_sum 'Mn2 Pb6 Br16'
_cell_length_a 8.538
_cell_length_b 12.619
_cell_length_c 8.560
_cell_angle_alpha 90.00
_cell_angle_beta 90.00
_cell_angle_gamma 90.00
_symmetry_space_group_name_H-M 'C 2 2 2'
_symmetry_Int_Tables_number 21
loop_
_symmetry_equiv_pos_as_xyz
'x,y,z'
'-x,-y,z'
'x,-y,-z'
'-x,y,-z'
'x+1/2,y+1/2,z'
'-x+1/2,-y+1/2,z'
'x+1/2,-y+1/2,-z'
'-x+1/2,y+1/2,-z'
loop_
_atom_site_label
_atom_site_type_symbol
_atom_site_fract_x
_atom_site_fract_y
_atom_site_fract_z
_atom_site_occupancy
Mn1 Mn 0.000 0.000 0.000 1
Pb1 Pb 0.000 0.000 0.500 1
Pb2 Pb 0.250 0.250 0.245 1
Br1 Br 0.000 0.212 0.000 1
Br2 Br 0.000 0.243 0.500 1
Br3 Br 0.230 0.008 0.224 1
# Formation energy from raw total energies in eV per formula unit: -10.38

---

# MnPb2Br6 | Alexandria | PBE-GGA | relaxed
data_MnPb2Br6
_chemical_formula_sum 'Mn2 Pb4 Br12'
_cell_length_a 15.351
_cell_length_b 4.244
_cell_length_c 10.649
_cell_angle_alpha 90.00
_cell_angle_beta 106.19
_cell_angle_gamma 90.00
_symmetry_space_group_name_H-M 'C 1 2/m 1'
_symmetry_Int_Tables_number 12
loop_
_symmetry_equiv_pos_as_xyz
'x,y,z'
'-x,-y,-z'
'-x,y,-z'
'x,-y,z'
'x+1/2,y+1/2,z'
'-x+1/2,-y+1/2,-z'
'-x+1/2,y+1/2,-z'
'x+1/2,-y+1/2,z'
loop_
_atom_site_label
_atom_site_type_symbol
_atom_site_fract_x
_atom_site_fract_y
_atom_site_fract_z
_atom_site_occupancy
Mn1 Mn 0.000 0.000 0.000 1
Pb1 Pb 0.163 0.500 0.324 1
Br1 Br 0.013 0.000 0.253 1
Br2 Br 0.124 0.500 0.033 1
Br3 Br 0.190 0.500 0.629 1
# Formation energy from raw total energies in eV per formula unit: -7.68

---

# Mn3PbBr | Alexandria | PBE-GGA | relaxed
data_Mn3PbBr
_chemical_formula_sum 'Mn3 Pb1 Br1'
_cell_length_a 5.327
_cell_length_b 5.327
_cell_length_c 5.327
_cell_angle_alpha 90.00
_cell_angle_beta 90.00
_cell_angle_gamma 90.00
_symmetry_space_group_name_H-M 'P m -3 m'
_symmetry_Int_Tables_number 221
_symmetry_space_group_name_Hall '-P 4 2 3'
loop_
_atom_site_label
_atom_site_type_symbol
_atom_site_fract_x
_atom_site_fract_y
_atom_site_fract_z
_atom_site_occupancy
Mn1 Mn 0.000 0.000 0.500 1
Pb1 Pb 0.000 0.000 0.000 1
Br1 Br 0.500 0.500 0.500 1
# Formation energy from raw total energies in eV per formula unit: 4.83

---

# Mn2PbBr | Alexandria | PBE-GGA | relaxed
data_Mn2PbBr
_chemical_formula_sum 'Mn2 Pb1 Br1'
_cell_length_a 3.397
_cell_length_b 3.397
_cell_length_c 8.114
_cell_angle_alpha 90.00
_cell_angle_beta 90.00
_cell_angle_gamma 90.00
_symmetry_space_group_name_H-M 'P 4 m m'
_symmetry_Int_Tables_number 99
loop_
_symmetry_equiv_pos_as_xyz
'x,y,z'
'-y,x,z'
'-x,-y,z'
'y,-x,z'
'-x,y,z'
'y,x,z'
'x,-y,z'
'-y,-x,z'
loop_
_atom_site_label
_atom_site_type_symbol
_atom_site_fract_x
_atom_site_fract_y
_atom_site_fract_z
_atom_site_occupancy
Mn1 Mn 0.000 0.000 0.000 1
Mn2 Mn 0.500 0.500 0.176 1
Pb1 Pb 0.000 0.000 0.392 1
Br1 Br 0.500 0.500 0.831 1
# Formation energy from raw total energies in eV per formula unit: 0.63

---

# Mn2PbBr | Alexandria | PBE-GGA | relaxed
data_Mn2PbBr
_chemical_formula_sum 'Mn4 Pb2 Br2'
_cell_length_a 3.869
_cell_length_b 5.667
_cell_length_c 8.206
_cell_angle_alpha 90.00
_cell_angle_beta 90.00
_cell_angle_gamma 90.00
_symmetry_space_group_name_H-M 'C m m m'
_symmetry_Int_Tables_number 65
_symmetry_space_group_name_Hall '-C 2 2'
loop_
_atom_site_label
_atom_site_type_symbol
_atom_site_fract_x
_atom_site_fract_y
_atom_site_fract_z
_atom_site_occupancy
Mn1 Mn 0.000 0.000 0.247 1
Pb1 Pb 0.000 0.500 0.500 1
Br1 Br 0.000 0.500 0.000 1
# Formation energy from raw total energies in eV per formula unit: 1.55

---

# Mn2PbBr | Alexandria | PBE-GGA | relaxed
data_Mn2PbBr
_chemical_formula_sum 'Mn4 Pb2 Br2'
_cell_length_a 3.296
_cell_length_b 4.488
_cell_length_c 12.343
_cell_angle_alpha 90.00
_cell_angle_beta 90.00
_cell_angle_gamma 90.00
_symmetry_space_group_name_H-M 'I m m 2'
_symmetry_Int_Tables_number 44
loop_
_symmetry_equiv_pos_as_xyz
'x,y,z'
'-x,-y,z'
'-x,y,z'
'x,-y,z'
'x+1/2,y+1/2,z+1/2'
'-x+1/2,-y+1/2,z+1/2'
'-x+1/2,y+1/2,z+1/2'
'x+1/2,-y+1/2,z+1/2'
loop_
_atom_site_label
_atom_site_type_symbol
_atom_site_fract_x
_atom_site_fract_y
_atom_site_fract_z
_atom_site_occupancy
Mn1 Mn 0.000 0.000 0.000 1
Mn2 Mn 0.000 0.500 0.308 1
Pb1 Pb 0.000 0.500 0.862 1
Br1 Br 0.000 0.000 0.629 1
# Formation energy from raw total energies in eV per formula unit: 1.45

---

# Mn2PbBr | Alexandria | PBE-GGA | relaxed
data_Mn2PbBr
_chemical_formula_sum 'Mn4 Pb2 Br2'
_cell_length_a 4.055
_cell_length_b 4.055
_cell_length_c 10.939
_cell_angle_alpha 90.00
_cell_angle_beta 90.00
_cell_angle_gamma 90.00
_symmetry_space_group_name_H-M 'I -4 m 2'
_symmetry_Int_Tables_number 119
_symmetry_space_group_name_Hall 'I -4 -2'
loop_
_atom_site_label
_atom_site_type_symbol
_atom_site_fract_x
_atom_site_fract_y
_atom_site_fract_z
_atom_site_occupancy
Mn1 Mn 0.000 0.000 0.000 1
Mn2 Mn 0.000 0.500 0.250 1
Pb1 Pb 0.000 0.500 0.750 1
Br1 Br 0.000 0.000 0.500 1
# Formation energy from raw total energies in eV per formula unit: 2.09

---

# Mn2PbBr | Alexandria | PBE-GGA | relaxed
data_Mn2PbBr
_chemical_formula_sum 'Mn8 Pb4 Br4'
_cell_length_a 7.233
_cell_length_b 7.233
_cell_length_c 7.537
_cell_angle_alpha 90.00
_cell_angle_beta 90.00
_cell_angle_gamma 90.00
_symmetry_space_group_name_H-M 'I -4 2 d'
_symmetry_Int_Tables_number 122
_symmetry_space_group_name_Hall 'I -4 2bw'
loop_
_atom_site_label
_atom_site_type_symbol
_atom_site_fract_x
_atom_site_fract_y
_atom_site_fract_z
_atom_site_occupancy
Mn1 Mn 0.231 0.250 0.125 1
Pb1 Pb 0.000 0.000 0.500 1
Br1 Br 0.000 0.000 0.000 1
# Formation energy from raw total energies in eV per formula unit: 1.85

---

Summary of total magnetization in μB per cell
10.00 10.00 14.00 7.66 16.65 14.91 16.37 33.79
(order as listed above)
Summary of calculated volume in Å³ per cell
922.3 666.3 151.2 93.6 179.9 182.6 179.9 394.3
(order as listed above)